A plane-wave DFT calculation with PBE was carried out for a relaxed structure of Mg2Pd8Au3.

Unit cell a=10.2794 b=10.2794 c=10.2794 alpha=29.22 beta=29.22 gamma=29.22
Last column: nearest neighbours and their distance in Å.
Fractional positions:
Mg1 0.1385 0.1385 0.1385  4 Pd 2.50-2.63
Mg2 0.8615 0.8615 0.8615  4 Pd 2.50-2.63
Pd1 0.2233 0.2233 0.2233  1 Mg 2.50, 1 Au 2.75
Pd2 0.2325 0.2325 0.7308  4 Pd 2.58-2.60, 1 Mg 2.63, 1 Au 2.84
Pd3 0.2325 0.7308 0.2325  4 Pd 2.58-2.60, 1 Mg 2.63, 1 Au 2.84
Pd4 0.2692 0.7675 0.7675  4 Pd 2.58-2.60, 1 Mg 2.63, 1 Au 2.84
Pd5 0.7308 0.2325 0.2325  4 Pd 2.58-2.60, 1 Mg 2.63, 1 Au 2.84
Pd6 0.7675 0.2692 0.7675  4 Pd 2.58-2.60, 1 Mg 2.63, 1 Au 2.84
Pd7 0.7675 0.7675 0.2692  4 Pd 2.58-2.60, 1 Mg 2.63, 1 Au 2.84
Pd8 0.7767 0.7767 0.7767  1 Mg 2.50, 1 Au 2.75
Au1 0.3165 0.3165 0.3165  10 Pd 2.75-2.96
Au2 0.5000 0.5000 0.5000  6 Mg 3.11, 12 Pd 3.34-3.43
Au3 0.6835 0.6835 0.6835  10 Pd 2.75-2.96

ΔE_f = -0.069 eV per atom
space group = R-3m, No. 166